IrAu, relaxed, DFT GGA-PBE; space-group type = No. 123; energy relative to the elements = 0.52 eV/atom; energy above the most stable polymorph in this dataset = 0.338 eV/atom; DFT total energy = -5.55 eV per atom; N(E_F) = 1.5901 states/eV per atom
1.0
2.845 0.000 0.000
0.000 2.845 0.000
0.000 0.000 3.987
Ir Au
1 1
direct
0.000 0.000 0.000
0.500 0.500 0.500


V12H5S3, relaxed, DFT GGA-PBE; space-group type = No. 230; DFT total energy = -7.11 eV per atom; N(E_F) = 1.0480 states/eV per atom
1.0
-5.994 5.994 5.994
5.994 -5.994 5.994
5.994 5.994 -5.994
V H S
48 20 12
direct
0.020 0.206 0.112
0.020 0.315 0.909
0.091 0.612 0.406
0.091 0.980 0.685
0.094 0.706 0.685
0.094 0.888 0.409
0.112 0.020 0.206
0.112 0.591 0.906
0.185 0.206 0.594
0.185 0.480 0.591
0.206 0.112 0.020
0.206 0.594 0.185
0.294 0.315 0.906
0.294 0.480 0.388
0.315 0.906 0.294
0.315 0.909 0.020
0.388 0.294 0.480
0.388 0.594 0.909
0.406 0.091 0.612
0.406 0.815 0.794
0.409 0.094 0.888
0.409 0.815 0.520
0.480 0.388 0.294
0.480 0.591 0.185
0.520 0.409 0.815
0.520 0.612 0.706
0.591 0.185 0.480
0.591 0.906 0.112
0.594 0.185 0.206
0.594 0.909 0.388
0.612 0.406 0.091
0.612 0.706 0.520
0.685 0.091 0.980
0.685 0.094 0.706
0.706 0.520 0.612
0.706 0.685 0.094
0.794 0.406 0.815
0.794 0.888 0.980
0.815 0.520 0.409
0.815 0.794 0.406
0.888 0.409 0.094
0.888 0.980 0.794
0.906 0.112 0.591
0.906 0.294 0.315
0.909 0.020 0.315
0.909 0.388 0.594
0.980 0.685 0.091
0.980 0.794 0.888
0.000 0.000 0.000
0.000 0.000 0.500
0.000 0.500 0.000
0.000 0.500 0.500
0.125 0.750 0.875
0.125 0.875 0.250
0.250 0.125 0.875
0.250 0.625 0.375
0.375 0.250 0.625
0.375 0.625 0.750
0.500 0.000 0.000
0.500 0.000 0.500
0.500 0.500 0.000
0.500 0.500 0.500
0.625 0.375 0.250
0.625 0.750 0.375
0.750 0.375 0.625
0.750 0.875 0.125
0.875 0.125 0.750
0.875 0.250 0.125
0.125 0.250 0.375
0.125 0.375 0.750
0.250 0.375 0.125
0.250 0.875 0.625
0.375 0.125 0.250
0.375 0.750 0.125
0.625 0.250 0.875
0.625 0.875 0.750
0.750 0.125 0.375
0.750 0.625 0.875
0.875 0.625 0.250
0.875 0.750 0.625


Be2OsRh2, relaxed, DFT GGA-PBE; space-group type = No. 127; energy relative to the elements = -0.30 eV/atom; DFT total energy = -6.98 eV per atom; N(E_F) = 0.9365 states/eV per atom
1.0
6.494 0.000 0.000
0.000 6.494 0.000
0.000 0.000 2.742
Be Os Rh
4 2 4
direct
0.125 0.375 0.000
0.375 0.875 0.000
0.625 0.125 0.000
0.875 0.625 0.000
0.000 0.000 0.000
0.500 0.500 0.000
0.171 0.671 0.500
0.329 0.171 0.500
0.671 0.829 0.500
0.829 0.329 0.500


Question: Which value of DFT total energy does entry 1 give?
Answer: -5.55 eV per atom